1.
# PBE BaReAs2, optimized geometry
# energy above the most stable polymorph in this dataset: 0.00 kJ per mole of atoms
# formation energy: -0.257 eV/atom
# total magnetization: 0.0 μB/f.u.
data_BaReAs2
_chemical_formula_sum 'Ba3 Re3 As6'
_space_group_name_H-M_alt 'R -3 m'
_space_group_IT_number 166
_space_group_name_Hall '-R 3 2"'
_cell_length_a 4.3507
_cell_length_b 4.3507
_cell_length_c 17.2534
_cell_angle_alpha 90.00
_cell_angle_beta 90.00
_cell_angle_gamma 120.00
loop_
_atom_site_label
_atom_site_type_symbol
_atom_site_fract_x
_atom_site_fract_y
_atom_site_fract_z
Ba1 Ba 0.0000 0.0000 0.0000
Re1 Re 0.0000 0.0000 0.5000
As1 As 0.0000 0.0000 0.2075

=====

2.
# PBE LiTe2H, optimized geometry
# energy above the most stable polymorph in this dataset: 12.95 kJ per mole of atoms
# total magnetization: 0.0 μB/f.u.
data_LiTe2H
_chemical_formula_sum 'Li4 Te8 H4'
_space_group_name_H-M_alt 'I -4 2 d'
_space_group_IT_number 122
_space_group_name_Hall 'I -4 2bw'
_cell_length_a 6.760
_cell_length_b 6.760
_cell_length_c 7.535
_cell_angle_alpha 90.00
_cell_angle_beta 90.00
_cell_angle_gamma 90.00
loop_
_atom_site_label
_atom_site_type_symbol
_atom_site_fract_x
_atom_site_fract_y
_atom_site_fract_z
Li1 Li 0.000 0.000 0.000
Te1 Te 0.151 0.250 0.625
H1 H 0.000 0.000 0.500

=====

3.
# PBE KSi2Br, optimized geometry
# energy above the most stable polymorph in this dataset: 81.11 kJ per mole of atoms
# uncorrected formation energy: 0.45 eV per atom
# total magnetization: 0.0 μB/f.u.
data_KSi2Br
_chemical_formula_sum 'K2 Si4 Br2'
_space_group_name_H-M_alt 'C m m m'
_space_group_IT_number 65
_space_group_name_Hall '-C 2 2'
_cell_length_a 5.527
_cell_length_b 14.760
_cell_length_c 2.856
_cell_angle_alpha 90.00
_cell_angle_beta 90.00
_cell_angle_gamma 90.00
loop_
_atom_site_label
_atom_site_type_symbol
_atom_site_fract_x
_atom_site_fract_y
_atom_site_fract_z
K1 K 0.000 0.000 0.000
Si1 Si 0.250 0.250 0.500
Br1 Br 0.000 0.500 0.000

=====

4.
# PBE Cu3C, optimized geometry
# formation energy: 0.827 eV/atom
# total magnetization: 0.0 μB/f.u.
data_Cu3C
_chemical_formula_sum 'Cu3 C1'
_space_group_name_H-M_alt 'P m m 2'
_space_group_IT_number 25
_cell_length_a 2.648
_cell_length_b 2.723
_cell_length_c 6.230
_cell_angle_alpha 90.00
_cell_angle_beta 90.00
_cell_angle_gamma 90.00
loop_
_space_group_symop_operation_xyz
'x,y,z'
'-x,-y,z'
'-x,y,z'
'x,-y,z'
loop_
_atom_site_label
_atom_site_type_symbol
_atom_site_fract_x
_atom_site_fract_y
_atom_site_fract_z
Cu1 Cu 0.000 0.000 0.000
Cu2 Cu 0.000 0.500 0.366
Cu3 Cu 0.500 0.500 0.724
C1 C 0.500 0.000 0.248

=====

5.
# PBE Zr2InRu, optimized geometry
# formation energy: -0.209 eV/atom
# total magnetization: 0.0 μB/f.u.
data_Zr2InRu
_chemical_formula_sum 'Zr6 In3 Ru3'
_space_group_name_H-M_alt 'R -3 m'
_space_group_IT_number 166
_space_group_name_Hall '-R 3 2"'
_cell_length_a 3.2902
_cell_length_b 3.2902
_cell_length_c 26.8456
_cell_angle_alpha 90.00
_cell_angle_beta 90.00
_cell_angle_gamma 120.00
loop_
_atom_site_label
_atom_site_type_symbol
_atom_site_fract_x
_atom_site_fract_y
_atom_site_fract_z
Zr1 Zr 0.0000 0.0000 0.2386
In1 In 0.0000 0.0000 0.0000
Ru1 Ru 0.0000 0.0000 0.5000

=====

6.
# PBE Li2HoGa, optimized geometry
# energy above the most stable polymorph in this dataset: 13.52 kJ per mole of atoms
# formation energy: -0.125 eV/atom
# total magnetization: 0.4 μB/f.u.
data_Li2HoGa
_chemical_formula_sum 'Li2 Ho1 Ga1'
_space_group_name_H-M_alt 'P 4/m m m'
_space_group_IT_number 123
_space_group_name_Hall '-P 4 2'
_cell_length_a 4.216
_cell_length_b 4.216
_cell_length_c 4.865
_cell_angle_alpha 90.00
_cell_angle_beta 90.00
_cell_angle_gamma 90.00
loop_
_atom_site_label
_atom_site_type_symbol
_atom_site_fract_x
_atom_site_fract_y
_atom_site_fract_z
Li1 Li 0.000 0.500 0.000
Ho1 Ho 0.000 0.000 0.500
Ga1 Ga 0.500 0.500 0.500

=====

7.
# PBE TbNd3Sm6, optimized geometry
# energy above the most stable polymorph in this dataset: 0.00 kJ per mole of atoms
# formation energy: 0.140 eV/atom
# total magnetization: 0.0 μB/f.u.
data_TbNd3Sm6
_chemical_formula_sum 'Tb4 Nd12 Sm24'
_space_group_name_H-M_alt 'C m c 21'
_space_group_IT_number 36
_cell_length_a 10.997
_cell_length_b 19.257
_cell_length_c 6.478
_cell_angle_alpha 90.00
_cell_angle_beta 90.00
_cell_angle_gamma 90.00
loop_
_space_group_symop_operation_xyz
'x,y,z'
'-x,-y,z+1/2'
'-x,y,z'
'x,-y,z+1/2'
'x+1/2,y+1/2,z'
'-x+1/2,-y+1/2,z+1/2'
'-x+1/2,y+1/2,z'
'x+1/2,-y+1/2,z+1/2'
loop_
_atom_site_label
_atom_site_type_symbol
_atom_site_fract_x
_atom_site_fract_y
_atom_site_fract_z
Tb1 Tb 0.000 0.191 0.000
Nd1 Nd 0.000 0.385 0.039
Nd2 Nd 0.176 0.116 0.655
Sm1 Sm 0.000 0.035 0.258
Sm2 Sm 0.000 0.275 0.466
Sm3 Sm 0.170 0.457 0.561
Sm4 Sm 0.235 0.291 0.747

=====

8.
# PBE Er12Co6Ni, optimized geometry
# formation energy: -0.200 eV/atom
# total magnetization: 0.0 μB/f.u.
data_Er12Co6Ni
_chemical_formula_sum 'Er24 Co12 Ni2'
_space_group_name_H-M_alt 'I m -3'
_space_group_IT_number 204
_space_group_name_Hall '-I 2 2 3'
_cell_length_a 9.450
_cell_length_b 9.450
_cell_length_c 9.450
_cell_angle_alpha 90.00
_cell_angle_beta 90.00
_cell_angle_gamma 90.00
loop_
_atom_site_label
_atom_site_type_symbol
_atom_site_fract_x
_atom_site_fract_y
_atom_site_fract_z
Er1 Er 0.000 0.193 0.298
Co1 Co 0.000 0.385 0.500
Ni1 Ni 0.000 0.000 0.000

=====

9.
# PBE Ac8GaPd3Br4, optimized geometry
# uncorrected formation energy: -1.00 eV per atom
# total magnetization: 0.0 μB/f.u.
data_Ac8GaPd3Br4
_chemical_formula_sum 'Ac24 Ga3 Pd9 Br12'
_space_group_name_H-M_alt 'R -3 m'
_space_group_IT_number 166
_space_group_name_Hall '-R 3 2"'
_cell_length_a 9.0335
_cell_length_b 9.0335
_cell_length_c 23.9740
_cell_angle_alpha 90.00
_cell_angle_beta 90.00
_cell_angle_gamma 120.00
loop_
_atom_site_label
_atom_site_type_symbol
_atom_site_fract_x
_atom_site_fract_y
_atom_site_fract_z
Ac1 Ac 0.0000 0.0000 0.2355
Ac2 Ac 0.0083 0.5041 0.7647
Ga1 Ga 0.0000 0.0000 0.5000
Pd1 Pd 0.0000 0.5000 0.5000
Br1 Br 0.0000 0.0000 0.0000
Br2 Br 0.0000 0.5000 0.0000

=====

10.
# PBE InSi2Br, optimized geometry
# energy above the most stable polymorph in this dataset: 50.95 kJ per mole of atoms
# uncorrected formation energy: 0.54 eV per atom
# total magnetization: 0.0 μB/f.u.
data_InSi2Br
_chemical_formula_sum 'In2 Si4 Br2'
_space_group_name_H-M_alt 'I -4 m 2'
_space_group_IT_number 119
_space_group_name_Hall 'I -4 -2'
_cell_length_a 4.959
_cell_length_b 4.959
_cell_length_c 6.949
_cell_angle_alpha 90.00
_cell_angle_beta 90.00
_cell_angle_gamma 90.00
loop_
_atom_site_label
_atom_site_type_symbol
_atom_site_fract_x
_atom_site_fract_y
_atom_site_fract_z
In1 In 0.000 0.000 0.000
Si1 Si 0.000 0.000 0.500
Si2 Si 0.000 0.500 0.750
Br1 Br 0.000 0.500 0.250

=====

11.
# PBE NbCuPbBr2, optimized geometry
# uncorrected formation energy: 0.93 eV per atom
# total magnetization: 4.1 μB/f.u.
data_NbCuPbBr2
_chemical_formula_sum 'Nb1 Cu1 Pb1 Br2'
_space_group_name_H-M_alt 'P 4/m m m'
_space_group_IT_number 123
_space_group_name_Hall '-P 4 2'
_cell_length_a 5.874
_cell_length_b 5.874
_cell_length_c 4.963
_cell_angle_alpha 90.00
_cell_angle_beta 90.00
_cell_angle_gamma 90.00
loop_
_atom_site_label
_atom_site_type_symbol
_atom_site_fract_x
_atom_site_fract_y
_atom_site_fract_z
Nb1 Nb 0.000 0.000 0.000
Cu1 Cu 0.500 0.500 0.000
Pb1 Pb 0.500 0.500 0.500
Br1 Br 0.000 0.500 0.500

=====

12.
# PBE NaDy2Au, optimized geometry
# formation energy: -0.267 eV/atom
# total magnetization: 0.0 μB/f.u.
data_NaDy2Au
_chemical_formula_sum 'Na1 Dy2 Au1'
_space_group_name_H-M_alt 'P 4/m m m'
_space_group_IT_number 123
_space_group_name_Hall '-P 4 2'
_cell_length_a 3.545
_cell_length_b 3.545
_cell_length_c 9.475
_cell_angle_alpha 90.00
_cell_angle_beta 90.00
_cell_angle_gamma 90.00
loop_
_atom_site_label
_atom_site_type_symbol
_atom_site_fract_x
_atom_site_fract_y
_atom_site_fract_z
Na1 Na 0.000 0.000 0.000
Dy1 Dy 0.500 0.500 0.315
Au1 Au 0.000 0.000 0.500

=====

13.
# PBE La2FeGe6Ir, optimized geometry
# formation energy: -0.423 eV/atom
# total magnetization: 0.0 μB/f.u.
data_La2FeGe6Ir
_chemical_formula_sum 'La4 Fe2 Ge12 Ir2'
_space_group_name_H-M_alt 'P m m n'
_space_group_IT_number 59
_cell_length_a 6.372
_cell_length_b 8.824
_cell_length_c 7.312
_cell_angle_alpha 90.00
_cell_angle_beta 90.00
_cell_angle_gamma 90.00
loop_
_space_group_symop_operation_xyz
'x,y,z'
'-x,-y,-z'
'-x+1/2,-y+1/2,z'
'x+1/2,y+1/2,-z'
'x+1/2,-y,-z'
'-x+1/2,y,z'
'-x,y+1/2,-z'
'x,-y+1/2,z'
loop_
_atom_site_label
_atom_site_type_symbol
_atom_site_fract_x
_atom_site_fract_y
_atom_site_fract_z
La1 La 0.250 0.007 0.247
Fe1 Fe 0.250 0.250 0.845
Ge1 Ge 0.045 0.750 0.960
Ge2 Ge 0.058 0.250 0.564
Ge3 Ge 0.250 0.516 0.813
Ir1 Ir 0.250 0.750 0.618

=====

14.
# PBE KY2Sb2, optimized geometry
# energy above the most stable polymorph in this dataset: 0.00 kJ per mole of atoms
# uncorrected formation energy: -0.69 eV per atom
# total magnetization: 0.9 μB/f.u.
data_KY2Sb2
_chemical_formula_sum 'K2 Y4 Sb4'
_space_group_name_H-M_alt 'P 4/m b m'
_space_group_IT_number 127
_space_group_name_Hall '-P 4 2ab'
_cell_length_a 8.815
_cell_length_b 8.815
_cell_length_c 3.967
_cell_angle_alpha 90.00
_cell_angle_beta 90.00
_cell_angle_gamma 90.00
loop_
_atom_site_label
_atom_site_type_symbol
_atom_site_fract_x
_atom_site_fract_y
_atom_site_fract_z
K1 K 0.000 0.000 0.000
Y1 Y 0.140 0.360 0.500
Sb1 Sb 0.153 0.653 0.000

=====

15.
# PBE Ca2BRhSe, optimized geometry
# uncorrected formation energy: -0.61 eV per atom
# total magnetization: 0.0 μB/f.u.
data_Ca2BRhSe
_chemical_formula_sum 'Ca2 B1 Rh1 Se1'
_space_group_name_H-M_alt 'P 4/m m m'
_space_group_IT_number 123
_space_group_name_Hall '-P 4 2'
_cell_length_a 5.256
_cell_length_b 5.256
_cell_length_c 3.890
_cell_angle_alpha 90.00
_cell_angle_beta 90.00
_cell_angle_gamma 90.00
loop_
_atom_site_label
_atom_site_type_symbol
_atom_site_fract_x
_atom_site_fract_y
_atom_site_fract_z
Ca1 Ca 0.000 0.500 0.000
B1 B 0.000 0.000 0.000
Rh1 Rh 0.000 0.000 0.500
Se1 Se 0.500 0.500 0.500

=====

16.
# PBE FeSb2C, optimized geometry
# uncorrected formation energy: 0.90 eV per atom
# total magnetization: 0.0 μB/f.u.
data_FeSb2C
_chemical_formula_sum 'Fe4 Sb8 C4'
_space_group_name_H-M_alt 'I -4 2 d'
_space_group_IT_number 122
_space_group_name_Hall 'I -4 2bw'
_cell_length_a 5.640
_cell_length_b 5.640
_cell_length_c 9.705
_cell_angle_alpha 90.00
_cell_angle_beta 90.00
_cell_angle_gamma 90.00
loop_
_atom_site_label
_atom_site_type_symbol
_atom_site_fract_x
_atom_site_fract_y
_atom_site_fract_z
Fe1 Fe 0.000 0.000 0.000
Sb1 Sb 0.216 0.250 0.625
C1 C 0.000 0.000 0.500

=====

17.
# PBE Fe7Ir6Rh16, optimized geometry
# formation energy: 0.240 eV/atom
# total magnetization: 23.4 μB/f.u.
data_Fe7Ir6Rh16
_chemical_formula_sum 'Fe28 Ir24 Rh64'
_space_group_name_H-M_alt 'F m -3 m'
_space_group_IT_number 225
_space_group_name_Hall '-F 4 2 3'
_cell_length_a 11.851
_cell_length_b 11.851
_cell_length_c 11.851
_cell_angle_alpha 90.00
_cell_angle_beta 90.00
_cell_angle_gamma 90.00
loop_
_atom_site_label
_atom_site_type_symbol
_atom_site_fract_x
_atom_site_fract_y
_atom_site_fract_z
Fe1 Fe 0.000 0.000 0.000
Fe2 Fe 0.000 0.250 0.250
Ir1 Ir 0.000 0.000 0.335
Rh1 Rh 0.117 0.117 0.117
Rh2 Rh 0.163 0.163 0.337

=====

18.
# PBE CoP2Rh, optimized geometry
# energy above the most stable polymorph in this dataset: 15.38 kJ per mole of atoms
# formation energy: -0.257 eV/atom
# total magnetization: 0.0 μB/f.u.
data_CoP2Rh
_chemical_formula_sum 'Co2 P4 Rh2'
_space_group_name_H-M_alt 'C 1 2/m 1'
_space_group_IT_number 12
_cell_length_a 7.221
_cell_length_b 2.869
_cell_length_c 4.925
_cell_angle_alpha 90.00
_cell_angle_beta 102.81
_cell_angle_gamma 90.00
loop_
_space_group_symop_operation_xyz
'x,y,z'
'-x,-y,-z'
'-x,y,-z'
'x,-y,z'
'x+1/2,y+1/2,z'
'-x+1/2,-y+1/2,-z'
'-x+1/2,y+1/2,-z'
'x+1/2,-y+1/2,z'
loop_
_atom_site_label
_atom_site_type_symbol
_atom_site_fract_x
_atom_site_fract_y
_atom_site_fract_z
Co1 Co 0.000 0.000 0.000
P1 P 0.246 0.500 0.226
Rh1 Rh 0.000 0.500 0.500

=====

19.
# PBE Pr3Te6As, optimized geometry
# uncorrected formation energy: -1.04 eV per atom
# total magnetization: 0.0 μB/f.u.
data_Pr3Te6As
_chemical_formula_sum 'Pr12 Te24 As4'
_space_group_name_H-M_alt 'C m c 21'
_space_group_IT_number 36
_cell_length_a 12.341
_cell_length_b 15.245
_cell_length_c 7.734
_cell_angle_alpha 90.00
_cell_angle_beta 90.00
_cell_angle_gamma 90.00
loop_
_space_group_symop_operation_xyz
'x,y,z'
'-x,-y,z+1/2'
'-x,y,z'
'x,-y,z+1/2'
'x+1/2,y+1/2,z'
'-x+1/2,-y+1/2,z+1/2'
'-x+1/2,y+1/2,z'
'x+1/2,-y+1/2,z+1/2'
loop_
_atom_site_label
_atom_site_type_symbol
_atom_site_fract_x
_atom_site_fract_y
_atom_site_fract_z
Pr1 Pr 0.000 0.098 0.000
Pr2 Pr 0.182 0.404 0.102
Te1 Te 0.000 0.278 0.263
Te2 Te 0.000 0.468 0.806
Te3 Te 0.162 0.035 0.301
Te4 Te 0.171 0.235 0.826
As1 As 0.000 0.302 0.650

=====

20.
# PBE SmAl4ZnPd2, optimized geometry
# formation energy: -0.554 eV/atom
# total magnetization: 0.0 μB/f.u.
data_SmAl4ZnPd2
_chemical_formula_sum 'Sm3 Al12 Zn3 Pd6'
_space_group_name_H-M_alt 'R -3 m'
_space_group_IT_number 166
_space_group_name_Hall '-R 3 2"'
_cell_length_a 4.3090
_cell_length_b 4.3090
_cell_length_c 26.4335
_cell_angle_alpha 90.00
_cell_angle_beta 90.00
_cell_angle_gamma 120.00
loop_
_atom_site_label
_atom_site_type_symbol
_atom_site_fract_x
_atom_site_fract_y
_atom_site_fract_z
Sm1 Sm 0.0000 0.0000 0.0000
Al1 Al 0.0000 0.0000 0.1270
Al2 Al 0.0000 0.0000 0.4018
Zn1 Zn 0.0000 0.0000 0.5000
Pd1 Pd 0.0000 0.0000 0.2351

=====

| no. | E_tot (hartree per atom) |
| --- | --- |
| 1 | -0.227 |
| 2 | -0.103 |
| 3 | -0.109 |
| 4 | -0.167 |
| 5 | -0.275 |
| 6 | -0.110 |
| 7 | -0.169 |
| 8 | -0.207 |
| 9 | -0.170 |
| 10 | -0.120 |
| 11 | -0.122 |
| 12 | -0.137 |
| 13 | -0.217 |
| 14 | -0.189 |
| 15 | -0.181 |
| 16 | -0.205 |
| 17 | -0.283 |
| 18 | -0.242 |
| 19 | -0.177 |
| 20 | -0.164 |